AlIr5 | Alexandria | SCAN | PBEsol geometry; magnetic moment = 0.00 μB per atom; space-group type = No. 123; energy relative to the lowest polymorph listed for this composition = 0.0441 eV/atom; ρ = 19.61 g cm⁻³; total energy = -60.830 eV/atom
1.0
2.732 0.000 0.000
0.000 2.732 0.000
0.000 0.000 11.210
Al Ir
1 5
direct
0.000 0.000 0.000
0.000 0.000 0.331
0.000 0.000 0.669
0.500 0.500 0.160
0.500 0.500 0.500
0.500 0.500 0.840